No. 1
# ZnIn2Tc (GGA-PBE, relaxed)
# crystal system: tetragonal
# density of states at the Fermi level: 2.9 states/eV/cell
# uncorrected energy: -3.984 eV per atom
data_ZnIn2Tc
_symmetry_space_group_name_H-M 'P 4 m m'
_symmetry_Int_Tables_number 99
_cell_length_a 3.0168
_cell_length_b 3.0168
_cell_length_c 8.7297
_cell_angle_alpha 90.00
_cell_angle_beta 90.00
_cell_angle_gamma 90.00
loop_
_symmetry_equiv_pos_as_xyz
'x,y,z'
'-y,x,z'
'-x,-y,z'
'y,-x,z'
'-x,y,z'
'y,x,z'
'x,-y,z'
'-y,-x,z'
loop_
_atom_site_label
_atom_site_fract_x
_atom_site_fract_y
_atom_site_fract_z
Zn1 0.0000 0.0000 0.0000
In1 0.0000 0.0000 0.5877
In2 0.5000 0.5000 0.2677
Tc1 0.5000 0.5000 0.8131



No. 2
# ZnInTc (GGA-PBE, relaxed)
# crystal system: triclinic
# density of states at the Fermi level: 3.6 states/eV/cell
# energy above the lowest structure with this stoichiometry: 0 meV per atom
data_ZnInTc
_symmetry_space_group_name_H-M 'P -1'
_symmetry_Int_Tables_number 2
_cell_length_a 3.0716
_cell_length_b 4.7033
_cell_length_c 7.8636
_cell_angle_alpha 96.25
_cell_angle_beta 90.53
_cell_angle_gamma 108.82
loop_
_symmetry_equiv_pos_as_xyz
'x,y,z'
'-x,-y,-z'
loop_
_atom_site_label
_atom_site_fract_x
_atom_site_fract_y
_atom_site_fract_z
Zn1 0.1094 0.2109 0.2079
In1 0.1341 0.2850 0.6224
Tc1 0.3709 0.7399 0.0636



No. 3
# ZnIn2Tc (GGA-PBE, relaxed)
# crystal system: orthorhombic
# density of states at the Fermi level: 6.3 states/eV/cell
# uncorrected energy: -4.019 eV per atom
data_ZnIn2Tc
_symmetry_space_group_name_H-M 'C m m m'
_symmetry_Int_Tables_number 65
_symmetry_space_group_name_Hall '-C 2 2'
_cell_length_a 5.9046
_cell_length_b 7.3223
_cell_length_c 3.3755
_cell_angle_alpha 90.00
_cell_angle_beta 90.00
_cell_angle_gamma 90.00
loop_
_atom_site_label
_atom_site_fract_x
_atom_site_fract_y
_atom_site_fract_z
Zn1 0.0000 0.0000 0.0000
In1 0.2500 0.2500 0.5000
Tc1 0.0000 0.5000 0.0000



No. 4
# ZnInTc (GGA-PBE, relaxed)
# crystal system: cubic
# density of states at the Fermi level: 11.1 states/eV/cell
# energy above the lowest structure with this stoichiometry: 431 meV per atom
data_ZnInTc
_symmetry_space_group_name_H-M 'F -4 3 m'
_symmetry_Int_Tables_number 216
_symmetry_space_group_name_Hall 'F -4 2 3'
_cell_length_a 6.2676
_cell_length_b 6.2676
_cell_length_c 6.2676
_cell_angle_alpha 90.00
_cell_angle_beta 90.00
_cell_angle_gamma 90.00
loop_
_atom_site_label
_atom_site_fract_x
_atom_site_fract_y
_atom_site_fract_z
Zn1 0.0000 0.0000 0.0000
In1 0.0000 0.0000 0.5000
Tc1 0.2500 0.2500 0.2500



No. 5
# ZnIn2Tc (GGA-PBE, relaxed)
# crystal system: tetragonal
# density of states at the Fermi level: 3.4 states/eV/cell
# uncorrected energy: -3.929 eV per atom
data_ZnIn2Tc
_symmetry_space_group_name_H-M 'P 4/m m m'
_symmetry_Int_Tables_number 123
_symmetry_space_group_name_Hall '-P 4 2'
_cell_length_a 2.9971
_cell_length_b 2.9971
_cell_length_c 8.6277
_cell_angle_alpha 90.00
_cell_angle_beta 90.00
_cell_angle_gamma 90.00
loop_
_atom_site_label
_atom_site_fract_x
_atom_site_fract_y
_atom_site_fract_z
Zn1 0.0000 0.0000 0.0000
In1 0.5000 0.5000 0.2691
Tc1 0.0000 0.0000 0.5000



No. 6
# Zn3InTc (GGA-PBE, relaxed)
# crystal system: cubic
# density of states at the Fermi level: 3.7 states/eV/cell
# energy above the lowest structure with this stoichiometry: 0 meV per atom
data_Zn3InTc
_symmetry_space_group_name_H-M 'P m -3 m'
_symmetry_Int_Tables_number 221
_symmetry_space_group_name_Hall '-P 4 2 3'
_cell_length_a 4.8917
_cell_length_b 4.8917
_cell_length_c 4.8917
_cell_angle_alpha 90.00
_cell_angle_beta 90.00
_cell_angle_gamma 90.00
loop_
_atom_site_label
_atom_site_fract_x
_atom_site_fract_y
_atom_site_fract_z
Zn1 0.0000 0.0000 0.5000
In1 0.5000 0.5000 0.5000
Tc1 0.0000 0.0000 0.0000